1.
PrDyP2 after structural relaxation, computed with GGA-PBE.

Output
polymorph energy (0 for the lowest one): 180.4 meV per atom
SG: R3m, No. 160

Unit cell a=7.3692 b=7.3692 c=7.3692 alpha=32.04 beta=32.04 gamma=32.04
Fractional positions:
Pr 0.0000 0.0000 0.0000
Dy 0.8284 0.8284 0.8284
P 0.4164 0.4164 0.4164
P 0.5775 0.5775 0.5775

***

2.
PrDy3P4 after structural relaxation, computed with GGA-PBE.

Output
SG: Cmmm, No. 65

Unit cell a=7.0279 b=7.0279 c=4.0593 alpha=90.00 beta=90.00 gamma=109.47
Fractional positions:
Pr 0.0000 0.0000 0.0000
Dy 0.0000 0.5000 0.5000
Dy 0.5000 0.0000 0.5000
Dy 0.5000 0.5000 0.0000
P 0.2539 0.7461 0.0000
P 0.2579 0.2579 0.5000
P 0.7421 0.7421 0.5000
P 0.7461 0.2539 0.0000

***

3.
PrDyP2 after structural relaxation, computed with GGA-PBE.

Output
polymorph energy (0 for the lowest one): 0.0 meV per atom
SG: R-3m, No. 166

Unit cell a=7.1061 b=7.1061 c=7.1061 alpha=33.61 beta=33.61 gamma=33.61
Fractional positions:
Pr 0.0000 0.0000 0.0000
Dy 0.5000 0.5000 0.5000
P 0.2461 0.2461 0.2461
P 0.7539 0.7539 0.7539

***

Values for DFT formation energy, eV per atom, ordered as above
-1.375 -1.578 -1.555
Values for calculated density, g/cm3, ordered as above
6.1 6.6 6.2